Model one:
AgP2RuO | PBE | optimized geometry

Calculated values
- Fermi-level density of states: 5.8 states/eV/cell

Cell: 4.757 4.757 3.873 Å, 90.00 90.00 90.00°
Site moments in Bohr magnetons follow the coordinates.
Sites, in units of the cell vectors:
O  0.000  0.000  0.500  0.19
Ru  0.500  0.500  0.500  1.90
Ag  0.000  0.000  0.000  0.01
P  0.000  0.500  0.000  -0.03
P  0.500  0.000  0.000  -0.03



Model two:
AgP2RuO | PBE | optimized geometry

Calculated values
- Fermi-level density of states: 2.8 states/eV/cell

Cell: 4.793 4.793 3.660 Å, 90.00 90.00 90.00°
Sites, in units of the cell vectors:
O  0.000  0.000  0.500
Ru  0.000  0.000  0.000
Ag  0.500  0.500  0.500
P  0.500  0.000  0.000
P  0.000  0.500  0.000



Unit: meV/atom. Relative energies: model one 1106; model two 0.